The following is a DFT calculation (PBE-GGA) of a relaxed structure of Tb6Tl3O2.

a b c (Å): 12.9069 12.9069 12.9069
angles (deg): 158.98 158.98 29.90
Closest atoms and distances in Å follow each position.
Atoms (fractional coordinates):
Tb 0.0854 0.5854 0.5000  2 O 2.39
Tb 0.1966 0.1966 0.0000  1 O 2.37
Tb 0.4146 0.9146 0.5000  2 O 2.39
Tb 0.5854 0.0854 0.5000  2 O 2.39
Tb 0.8034 0.8034 0.0000  1 O 2.37
Tb 0.9146 0.4146 0.5000  2 O 2.39
Tl 0.3235 0.3235 0.0000  9 Tb 3.16-3.37
Tl 0.5000 0.5000 0.0000  8 Tb 3.17
Tl 0.6765 0.6765 0.0000  9 Tb 3.16-3.37
O 0.1016 0.1016 0.0000  5 Tb 2.37-2.39
O 0.8984 0.8984 0.0000  5 Tb 2.37-2.39

Computed properties:
Energy relative to the elements, uncorrected in kJ/mol of atoms: -120.4
DOS at the Fermi energy in states/eV per cell: 5.45
Calculated total energy in eV per atom: -5.32
Density in g cm⁻³: 9.60
Symmetry: No. 139